No. 1
Entry from Alexandria via LeMat-Bulk: crystalline BaNa2CuSn at its relaxed geometry (PBE).

CIF file:
```
data_BaNa2CuSn
_chemical_formula_sum 'Ba1 Na2 Cu1 Sn1'
_cell_length_a 5.5102
_cell_length_b 5.5102
_cell_length_c 5.0492
_cell_angle_alpha 90.00
_cell_angle_beta 90.00
_cell_angle_gamma 90.00
_symmetry_space_group_name_H-M 'P 4/m m m'
_symmetry_Int_Tables_number 123
_symmetry_space_group_name_Hall '-P 4 2'
loop_
_atom_site_label
_atom_site_type_symbol
_atom_site_fract_x
_atom_site_fract_y
_atom_site_fract_z
Ba1 Ba 0.0000 0.0000 0.0000
Na1 Na 0.0000 0.5000 0.5000
Cu1 Cu 0.5000 0.5000 0.5000
Sn1 Sn 0.5000 0.5000 0.0000
```

Output
- Total DFT energy (no corrections): -2.607 eV/atom
- N(E_F): 2.19 states/eV/f.u.
- Formation energy: -0.08 eV per atom
- Calculated density: 3.96 g/cm3

No. 2
Entry from Alexandria via LeMat-Bulk: crystalline Ba2NaCuSn at its relaxed geometry (PBE).

CIF file:
```
data_Ba2NaCuSn
_chemical_formula_sum 'Ba2 Na1 Cu1 Sn1'
_cell_length_a 6.3779
_cell_length_b 6.3779
_cell_length_c 4.8985
_cell_angle_alpha 90.00
_cell_angle_beta 90.00
_cell_angle_gamma 90.00
_symmetry_space_group_name_H-M 'P 4/m m m'
_symmetry_Int_Tables_number 123
_symmetry_space_group_name_Hall '-P 4 2'
loop_
_atom_site_label
_atom_site_type_symbol
_atom_site_fract_x
_atom_site_fract_y
_atom_site_fract_z
Ba1 Ba 0.0000 0.5000 0.0000
Na1 Na 0.0000 0.0000 0.5000
Cu1 Cu 0.5000 0.5000 0.0000
Sn1 Sn 0.5000 0.5000 0.5000
```

Output
- Total DFT energy (no corrections): -2.845 eV/atom
- N(E_F): 2.43 states/eV/f.u.
- Formation energy: -0.19 eV per atom
- Calculated density: 4.00 g/cm3

No. 3
Entry from Alexandria via LeMat-Bulk: crystalline BaNa2SrCu at its relaxed geometry (PBE).

CIF file:
```
data_BaNa2SrCu
_chemical_formula_sum 'Ba1 Na2 Sr1 Cu1'
_cell_length_a 5.8797
_cell_length_b 5.8797
_cell_length_c 5.9111
_cell_angle_alpha 90.00
_cell_angle_beta 90.00
_cell_angle_gamma 90.00
_symmetry_space_group_name_H-M 'P 4/m m m'
_symmetry_Int_Tables_number 123
_symmetry_space_group_name_Hall '-P 4 2'
loop_
_atom_site_label
_atom_site_type_symbol
_atom_site_fract_x
_atom_site_fract_y
_atom_site_fract_z
Ba1 Ba 0.0000 0.0000 0.0000
Na1 Na 0.0000 0.5000 0.5000
Sr1 Sr 0.5000 0.5000 0.0000
Cu1 Cu 0.5000 0.5000 0.5000
```

Output
- Total DFT energy (no corrections): -1.894 eV/atom
- N(E_F): 5.33 states/eV/f.u.
- Formation energy: 0.17 eV per atom
- Calculated density: 2.72 g/cm3

No. 4
Entry from Alexandria via LeMat-Bulk: crystalline Ba6NaCu3Te14 at its relaxed geometry (PBE).

CIF file:
```
data_Ba6NaCu3Te14
_chemical_formula_sum 'Ba12 Na2 Cu6 Te28'
_cell_length_a 14.3513
_cell_length_b 14.3513
_cell_length_c 9.1300
_cell_angle_alpha 90.00
_cell_angle_beta 90.00
_cell_angle_gamma 120.00
_symmetry_space_group_name_H-M 'P 63/m c m'
_symmetry_Int_Tables_number 193
_symmetry_space_group_name_Hall '-P 6c 2'
loop_
_atom_site_label
_atom_site_type_symbol
_atom_site_fract_x
_atom_site_fract_y
_atom_site_fract_z
Ba1 Ba 0.2076 0.4511 0.2500
Na1 Na 0.0000 0.0000 0.0000
Cu1 Cu 0.0000 0.1915 0.7500
Te1 Te 0.0000 0.1715 0.2500
Te2 Te 0.0000 0.3170 0.5257
Te3 Te 0.0000 0.4663 0.7500
Te4 Te 0.3333 0.6667 0.0000
```

Output
- Total DFT energy (no corrections): -3.873 eV/atom
- Energy relative to the elements, uncorrected: -0.9925 eV per atom
- Calculated density: 5.76 g/cm3

No. 5
Entry from Alexandria via LeMat-Bulk: crystalline Ba2NaTiCu at its relaxed geometry (PBE).

CIF file:
```
data_Ba2NaTiCu
_chemical_formula_sum 'Ba2 Na1 Ti1 Cu1'
_cell_length_a 6.4326
_cell_length_b 6.4326
_cell_length_c 4.7871
_cell_angle_alpha 90.00
_cell_angle_beta 90.00
_cell_angle_gamma 90.00
_symmetry_space_group_name_H-M 'P 4/m m m'
_symmetry_Int_Tables_number 123
_symmetry_space_group_name_Hall '-P 4 2'
loop_
_atom_site_label
_atom_site_type_symbol
_atom_site_fract_x
_atom_site_fract_y
_atom_site_fract_z
Ba1 Ba 0.0000 0.5000 0.0000
Na1 Na 0.0000 0.0000 0.5000
Ti1 Ti 0.5000 0.5000 0.0000
Cu1 Cu 0.5000 0.5000 0.5000
```

Output
- Total DFT energy (no corrections): -2.845 eV/atom
- N(E_F): 6.14 states/eV/f.u.
- Formation energy: 0.59 eV per atom
- Calculated density: 3.43 g/cm3

No. 6
Entry from Alexandria via LeMat-Bulk: crystalline BaNa2TlCu at its relaxed geometry (PBE).

CIF file:
```
data_BaNa2TlCu
_chemical_formula_sum 'Ba1 Na2 Tl1 Cu1'
_cell_length_a 5.5568
_cell_length_b 5.5568
_cell_length_c 5.2010
_cell_angle_alpha 90.00
_cell_angle_beta 90.00
_cell_angle_gamma 90.00
_symmetry_space_group_name_H-M 'P 4/m m m'
_symmetry_Int_Tables_number 123
_symmetry_space_group_name_Hall '-P 4 2'
loop_
_atom_site_label
_atom_site_type_symbol
_atom_site_fract_x
_atom_site_fract_y
_atom_site_fract_z
Ba1 Ba 0.0000 0.0000 0.0000
Na1 Na 0.0000 0.5000 0.5000
Tl1 Tl 0.5000 0.5000 0.0000
Cu1 Cu 0.5000 0.5000 0.5000
```

Output
- Total DFT energy (no corrections): -2.150 eV/atom
- N(E_F): 3.50 states/eV/f.u.
- Formation energy: 0.05 eV per atom
- Calculated density: 4.67 g/cm3